# 1
A plane-wave DFT calculation with GGA-PBE was carried out for a relaxed La4IrSBr2 crystal.

Structure (POSCAR):
```
La4IrSBr2
1.0
-1.4969 -3.8289 -0.1851
6.0422 -2.5392 3.6589
-5.4877 1.8843 5.3996
La Br S Ir
4 2 1 1
Direct
0.0000 0.2785 0.7957
0.5000 0.7674 0.7895
0.5000 0.2326 0.2105
0.0000 0.7215 0.2043
0.5000 0.0000 0.5000
0.0000 0.5000 0.5000
0.0000 0.0000 0.0000
0.5000 0.5000 0.0000
```

Computed properties:
Magnetic moment: 0.00 μB/cell
Uncorrected energy: -5.965 eV per atom
Formation energy without anion corrections: -1.459 eV/atom
ρ: 6.7 g cm⁻³

=====

# 2
A plane-wave DFT calculation with GGA-PBE was carried out for a relaxed La6Ir2S3Br crystal.

Structure (POSCAR):
```
La6Ir2S3Br
1.0
4.1436 0.0000 0.0000
0.0000 8.7155 0.2462
-2.0718 -2.5781 8.9097
S La Ir Br
3 6 2 1
Direct
0.5000 0.5000 0.0000
0.1581 0.8385 0.3162
0.8419 0.1615 0.6838
0.9927 0.7238 0.9854
0.3294 0.4229 0.6587
0.3235 0.8944 0.6470
0.6706 0.5771 0.3413
0.6765 0.1056 0.3530
0.0073 0.2762 0.0146
0.8331 0.6691 0.6663
0.1669 0.3309 0.3337
0.5000 0.0000 0.0000
```

Computed properties:
Magnetic moment: 0.00 μB/cell
Uncorrected energy: -6.654 eV per atom
Formation energy without anion corrections: -1.542 eV/atom
ρ: 7.1 g cm⁻³

=====

# 3
A plane-wave DFT calculation with GGA-PBE was carried out for a relaxed La6Ir3S2Br crystal.

Structure (POSCAR):
```
La6Ir3S2Br
1.0
4.1556 0.0000 0.0000
0.0000 8.8010 0.0061
-2.0778 -2.8571 9.0358
La Ir S Br
6 3 2 1
Direct
0.3210 0.9239 0.6420
0.6648 0.5899 0.3297
0.3352 0.4101 0.6703
0.9963 0.2779 0.9927
0.6790 0.0761 0.3580
0.0037 0.7221 0.0073
0.5000 0.5000 0.0000
0.1652 0.8288 0.3303
0.8348 0.1712 0.6697
0.8345 0.6717 0.6690
0.1655 0.3283 0.3310
0.5000 0.0000 0.0000
```

Computed properties:
Magnetic moment: 0.00 μB/cell
Uncorrected energy: -6.830 eV per atom
Formation energy without anion corrections: -1.324 eV/atom
ρ: 7.8 g cm⁻³